Here is an optimized crystal structure of Mn2RuF from the Alexandria database. Energies are from GGA+U.

Values from the calculation:
Space group   Fm-3m, No. 225
Total energy   -6.382 eV/atom
Calculated volume   15.5 Å³/atom
Relative energy among the computed polymorphs   246 meV per atom

Lattice parameters (Å, degrees): 4.438 4.438 4.438 60.00 60.00 60.00
Fractional coordinates of all 4 atoms:
Ru  0.500  0.500  0.500
F  0.000  0.000  0.000
Mn  0.750  0.750  0.750
Mn  0.250  0.250  0.250